Computed, not measured: a relaxed structure of NdTmAl at the PBE level of DFT.

a b c (Å): 4.732 4.732 7.695
angles (deg): 90.00 90.00 90.00
Element x y z (fractional)
Nd1 0.250 0.250 0.205
Nd2 0.750 0.750 0.795
Tm1 0.250 0.250 0.737
Tm2 0.750 0.750 0.263
Al1 0.250 0.750 0.500
Al2 0.750 0.250 0.500

Symmetry   P4/nmm
Energy above the lowest structure with this stoichiometry   145 meV per atom
Calculated volume   172 Å³ per cell
ΔE_f   -0.08 eV/atom
ρ   6.6 Mg/m³
Total magnetization   0.00 μB per formula unit
Calculated total energy   -4.41 eV per atom

=====

Computed, not measured: a relaxed structure of NdTm3Al8 at the PBE level of DFT.

a b c (Å): 9.663 9.663 9.663
angles (deg): 33.36 33.36 33.36
Element x y z (fractional)
Nd1 0.000 0.000 0.000
Tm1 0.125 0.125 0.125
Tm2 0.501 0.501 0.501
Tm3 0.624 0.624 0.624
Al1 0.062 0.062 0.561
Al2 0.062 0.561 0.062
Al3 0.064 0.564 0.564
Al4 0.312 0.312 0.312
Al5 0.561 0.062 0.062
Al6 0.564 0.064 0.564
Al7 0.564 0.564 0.064
Al8 0.813 0.813 0.813

Symmetry   R3m
Energy above the lowest structure with this stoichiometry   0 meV per atom
Calculated volume   243 Å³ per cell
ΔE_f   -0.49 eV/atom
ρ   5.9 Mg/m³
Total magnetization   0.00 μB per formula unit
Calculated total energy   -4.50 eV per atom

=====

Computed, not measured: a relaxed structure of NdTm4Al at the PBE level of DFT.

a b c (Å): 3.522 3.522 13.836
angles (deg): 90.00 90.00 90.00
Element x y z (fractional)
Nd1 0.000 0.000 0.000
Tm1 0.000 0.000 0.365
Tm2 0.000 0.000 0.635
Tm3 0.500 0.500 0.184
Tm4 0.500 0.500 0.816
Al1 0.500 0.500 0.500

Symmetry   P4/mmm
Calculated volume   172 Å³ per cell
ΔE_f   -0.12 eV/atom
ρ   8.2 Mg/m³
Total magnetization   0.00 μB per formula unit
Calculated total energy   -4.52 eV per atom